# FeBiRu3

A relaxed structure of FeBiRu3 (PBE, Alexandria via LeMat-Bulk).

Results
The value obtained for the formation energy is 1112 meV per atom. As for the total energy: -6.92 eV per atom. The offset from the most stable computed form is 0.0 kJ per mole of atoms.

Unit cell a=4.4824 b=4.4824 c=4.4824 alpha=90.00 beta=90.00 gamma=90.00
Sites, in units of the cell vectors:
1 Ru 0.0000 0.0000 0.5000
2 Ru 0.0000 0.5000 0.0000
3 Ru 0.5000 0.0000 0.0000
4 Fe 0.0000 0.0000 0.0000
5 Bi 0.5000 0.5000 0.5000